# 1
LaTbPm5Er2 | Alexandria | PBE | relaxed; E_form = 0.152 eV per atom; space group = Cmc2_1, No. 36; calculated volume = 615 Å³ per cell
1.0
5.703 0.000 0.000
-2.852 10.118 0.000
0.000 0.000 10.657
La Tb Pm Er
2 2 10 4
direct
0.584 0.167 0.950
0.416 0.833 0.450
0.800 0.601 0.511
0.200 0.399 0.011
0.386 0.773 0.024
0.719 0.439 0.814
0.479 0.958 0.740
0.296 0.593 0.707
0.983 0.966 0.524
0.614 0.227 0.524
0.281 0.561 0.314
0.521 0.042 0.240
0.704 0.407 0.207
0.017 0.034 0.024
0.884 0.769 0.820
0.113 0.226 0.734
0.116 0.231 0.320
0.887 0.774 0.234

# 2
BaTmAg2F8 | Alexandria | PBE | relaxed; space group = P-3m1, No. 164; formation energy from raw total energies = -2.609 eV/atom; calculated volume = 277 Å³ per cell
1.0
6.605 0.000 0.000
-3.302 5.720 0.000
0.000 0.000 7.327
Ba Tm Ag F
1 1 2 8
direct
0.000 0.000 0.500
0.000 0.000 0.000
0.333 0.667 0.730
0.667 0.333 0.270
0.139 0.278 0.804
0.139 0.861 0.804
0.722 0.861 0.804
0.278 0.139 0.196
0.667 0.333 0.557
0.333 0.667 0.443
0.861 0.722 0.196
0.861 0.139 0.196